The following is a DFT calculation (PBE+U) of an optimized crystal structure of Ga2NiGeO6.

Cell: 6.4897 6.4897 5.1768 Å, 95.98 95.98 86.29°
Fractional positions:
Ga: 0.0901 0.2856 0.2944
Ga: 0.2856 0.0901 0.7944
Ga: 0.7144 0.9099 0.2056
Ga: 0.9099 0.7144 0.7056
Ni: 0.4141 0.5859 0.7500
Ni: 0.5859 0.4141 0.2500
Ge: 0.2362 0.7638 0.2500
Ge: 0.7638 0.2362 0.7500
O: 0.0422 0.2161 0.6293
O: 0.1424 0.6453 0.9170
O: 0.2161 0.0422 0.1293
O: 0.2869 0.4866 0.3713
O: 0.3547 0.8576 0.5830
O: 0.4866 0.2869 0.8713
O: 0.5134 0.7131 0.1287
O: 0.6453 0.1424 0.4170
O: 0.7131 0.5134 0.6287
O: 0.7839 0.9578 0.8707
O: 0.8576 0.3547 0.0830
O: 0.9578 0.7839 0.3707

size of the total moment	3.98	μB per cell
D(E_F)	0.00	states/eV/cell
total DFT energy (no corrections)	-5.94	eV per atom
theoretical density	5.7	g/cm³
SG	C2/c (15)